1.
The following is a DFT calculation (PBE) of a relaxed BaCrIn2 crystal.

Summary:
Calculated formation energy ... 204 meV per atom
Space-group type ... I-4m2

a b c (Å): 5.4536 5.4536 5.4536
angles (deg): 119.85 119.85 90.25
Site moments in Bohr magnetons follow the coordinates.
Element x y z (fractional)
Ba 0.5000 0.5000 0.0000  0.11
Cr 0.7500 0.2500 0.5000  4.09
In 0.0000 0.0000 0.0000  0.00
In 0.2500 0.7500 0.5000  0.01



2.
The following is a DFT calculation (PBE) of a relaxed Mn2ReH2 crystal.

Summary:
Polymorph energy (0 for the lowest one) ... 0.258 eV/atom
Space-group type ... P4/mbm

a b c (Å): 5.6877 5.6877 2.6823
angles (deg): 90.00 90.00 90.00
Element x y z (fractional)
Re 0.0000 0.0000 0.0000
Re 0.5000 0.5000 0.0000
Mn 0.1277 0.6277 0.5000
Mn 0.6277 0.8723 0.5000
Mn 0.8723 0.3723 0.5000
Mn 0.3723 0.1277 0.5000
H 0.2860 0.7860 0.0000
H 0.7860 0.7140 0.0000
H 0.7140 0.2140 0.0000
H 0.2140 0.2860 0.0000



3.
The following is a DFT calculation (PBE) of a relaxed CaPmBr4 crystal.

Summary:
E_form (uncorrected) ... -1.80 eV/atom
Space-group type ... P2/m

a b c (Å): 3.9536 7.5812 7.5579
angles (deg): 106.65 90.00 90.00
Element x y z (fractional)
Ca 0.0000 0.5000 0.5000
Pm 0.5000 0.5000 0.0000
Br 0.0000 0.2594 0.7401
Br 0.0000 0.7406 0.2599
Br 0.5000 0.2722 0.2598
Br 0.5000 0.7278 0.7402



4.
The following is a DFT calculation (PBE) of a relaxed LuHg crystal.

Summary:
Calculated formation energy ... -467 meV per atom
Space-group type ... Pm-3m

a b c (Å): 3.6501 3.6501 3.6457
angles (deg): 90.00 90.00 90.00
Element x y z (fractional)
Lu 0.5000 0.5000 0.5000
Hg 0.0000 0.0000 0.0000



5.
The following is a DFT calculation (PBE) of a relaxed SiS crystal.

Summary:
E_form (uncorrected) ... -0.31 eV/atom
Space-group type ... R-3m

a b c (Å): 3.4410 3.4410 24.2479
angles (deg): 90.00 90.00 120.00
Element x y z (fractional)
S 0.0000 0.0000 0.4157
S 0.0000 0.0000 0.5843
S 0.3333 0.6667 0.0824
S 0.3333 0.6667 0.2510
S 0.6667 0.3333 0.7490
S 0.6667 0.3333 0.9176
Si 0.0000 0.0000 0.2014
Si 0.0000 0.0000 0.7986
Si 0.3333 0.6667 0.8681
Si 0.3333 0.6667 0.4653
Si 0.6667 0.3333 0.5347
Si 0.6667 0.3333 0.1319



6.
The following is a DFT calculation (PBE) of a relaxed Sc2Pt3Au crystal.

Summary:
Calculated formation energy ... -747 meV per atom
Space-group type ... Ibam

a b c (Å): 8.2764 5.5808 7.2715
angles (deg): 112.57 124.69 90.00
Element x y z (fractional)
Sc 0.5789 0.3608 0.7217
Sc 0.8572 0.1392 0.2783
Sc 0.1428 0.8608 0.7217
Sc 0.4211 0.6392 0.2783
Pt 0.5000 0.2500 0.0000
Pt 0.5000 0.7500 0.0000
Pt 0.7669 0.0169 0.5337
Pt 0.2331 0.4831 0.4663
Pt 0.2331 0.9831 0.4663
Pt 0.7669 0.5169 0.5337
Au 0.0000 0.5000 0.0000
Au 0.0000 0.0000 0.0000



7.
The following is a DFT calculation (PBE) of a relaxed Na3Ho2PaS6 crystal.

Summary:
E_form (uncorrected) ... -1.69 eV/atom
Space-group type ... C2/m

a b c (Å): 6.8530 6.8530 7.1009
angles (deg): 99.25 99.25 120.00
Site moments in Bohr magnetons follow the coordinates.
Element x y z (fractional)
Na 0.1678 0.8322 0.5000  0.00
Na 0.8322 0.1678 0.5000  0.00
Na 0.5000 0.5000 0.5000  0.00
Ho 0.3334 0.6666 0.0000  0.13
Ho 0.6666 0.3334 0.0000  0.13
Pa 0.0000 0.0000 0.0000  1.13
S 0.9235 0.5907 0.7704  -0.01
S 0.7439 0.7439 0.2295  -0.01
S 0.0765 0.4093 0.2296  -0.01
S 0.5907 0.9235 0.7704  -0.01
S 0.2561 0.2561 0.7705  -0.01
S 0.4093 0.0765 0.2296  -0.01



8.
The following is a DFT calculation (PBE) of a relaxed Cd4WBr crystal.

Summary:
E_form (uncorrected) ... 0.85 eV/atom
Space-group type ... F-43m

a b c (Å): 5.7166 5.7166 5.7166
angles (deg): 60.00 60.00 60.00
Site moments in Bohr magnetons follow the coordinates.
Element x y z (fractional)
Cd 0.8717 0.3761 0.3761  -0.02
Cd 0.3761 0.3761 0.8717  -0.02
Cd 0.3761 0.8717 0.3761  -0.02
Cd 0.3761 0.3761 0.3761  -0.02
W 0.7500 0.7500 0.7500  0.93
Br 0.0000 0.0000 0.0000  -0.02



9.
The following is a DFT calculation (PBE) of a relaxed HfTcPb3 crystal.

Summary:
Calculated formation energy ... 1277 meV per atom
Polymorph energy (0 for the lowest one) ... 0.334 eV/atom
Space-group type ... Pm-3m

a b c (Å): 5.5899 5.5899 5.5899
angles (deg): 90.00 90.00 90.00
Site moments in Bohr magnetons follow the coordinates.
Element x y z (fractional)
Pb 0.0000 0.5000 0.0000  0.02
Pb 0.0000 0.0000 0.5000  0.04
Pb 0.5000 0.0000 0.0000  0.02
Hf 0.0000 0.0000 0.0000  0.19
Tc 0.5000 0.5000 0.5000  3.74



10.
The following is a DFT calculation (PBE) of a relaxed Tb5Nd3As8 crystal.

Summary:
Calculated formation energy ... -1525 meV per atom
Space-group type ... R-3m

a b c (Å): 8.3790 8.3790 8.3796
angles (deg): 60.00 60.00 60.00
Element x y z (fractional)
Tb 0.5000 0.0000 0.0000
Tb 0.5000 0.5000 0.0000
Tb 0.0000 0.0000 0.0000
Tb 0.0000 0.5000 0.0000
Tb 0.5000 0.5000 0.5000
Nd 0.5000 0.0000 0.5000
Nd 0.0000 0.0000 0.5000
Nd 0.0000 0.5000 0.5000
As 0.2500 0.2500 0.7554
As 0.2500 0.7446 0.7554
As 0.7446 0.2500 0.7554
As 0.7472 0.7472 0.7583
As 0.7500 0.7500 0.2446
As 0.7500 0.2554 0.2446
As 0.2554 0.7500 0.2446
As 0.2528 0.2528 0.2417



11.
The following is a DFT calculation (PBE) of a relaxed LaMgCr2 crystal.

Summary:
Calculated formation energy ... 1305 meV per atom
Space-group type ... I-42d

a b c (Å): 7.4511 7.4511 5.9735
angles (deg): 51.42 51.42 90.00
Element x y z (fractional)
Cr 0.6091 0.1250 0.2500
Cr 0.1409 0.6250 0.2500
Cr 0.3750 0.3909 0.7500
Cr 0.8750 0.8591 0.7500
Mg 0.5000 0.5000 0.0000
Mg 0.2500 0.7500 0.5000
La 0.0000 0.0000 0.0000
La 0.7500 0.2500 0.5000



12.
The following is a DFT calculation (PBE) of a relaxed TbNp2ScAs4 crystal.

Summary:
Calculated formation energy ... -1029 meV per atom
Space-group type ... P2/m

a b c (Å): 4.0429 7.0411 7.0328
angles (deg): 109.31 90.00 90.00
Site moments in Bohr magnetons follow the coordinates.
Element x y z (fractional)
Tb 0.0000 0.0000 0.0000  0.01
Np 0.5000 0.0000 0.5000  3.70
Np 0.0000 0.5000 0.5000  -3.59
Sc 0.5000 0.5000 0.0000  -0.01
As 0.5000 0.2569 0.2477  0.03
As 0.5000 0.7431 0.7523  0.03
As 0.0000 0.2601 0.7576  -0.02
As 0.0000 0.7399 0.2424  -0.02



no.,DOS(E_F) (states/eV/cell),E (eV per atom)
1,1.819,-4.05
2,6.075,-7.21
3,2.407,-4.04
4,1.592,-2.88
5,0.795,-5.08
6,5.427,-6.42
7,6.497,-5.63
8,4.773,-2.20
9,3.667,-5.01
10,2.112,-6.19
11,20.422,-5.14
12,21.289,-7.96